LiPdSe2 at its PBEsol-relaxed geometry. Source: the Alexandria database, functional SCAN.

Lattice parameters (Å, degrees): 3.064 3.064 8.651 79.80 79.80 60.00
Positions (direct):
Se (0.907, 0.907, 0.279)
Se (0.093, 0.093, 0.721)
Pd (0.000, 0.000, 0.000)
Li (0.500, 0.500, 0.500)

Calculated values
- ΔE_f (raw): -253 meV/atom
- Energy: -19.083 eV/atom
- ρ: 6.54 Mg/m³